1.
First-principles (PBE) data for a geometry-optimized CsRb2AgB structure, as listed in Alexandria via LeMat-Bulk.

Structure (POSCAR):
```
CsRb2AgB
1.0
-3.551 -5.651 -2.417
2.415 -2.610 2.552
-4.736 0.737 5.236
Rb B Cs Ag
2 1 1 1
direct
0.000 0.000 0.500 Rb
0.500 0.000 0.000 Rb
0.000 0.500 0.000 B
0.500 0.500 0.500 Cs
0.000 0.000 0.000 Ag
```

Computed properties:
Energy relative to the elements   0.672 eV/atom
V   220.55 Å³ per cell
Density of states at the Fermi level   0.8136 states/eV per atom
Space group   P4/mmm, No. 123


2.
First-principles (PBE) data for a geometry-optimized CsAgB2Rh structure, as listed in Alexandria via LeMat-Bulk.

Structure (POSCAR):
```
CsAgB2Rh
1.0
4.151 0.000 0.000
0.000 6.565 0.000
0.000 0.000 4.151
Cs Rh B Ag
1 1 2 1
direct
0.000 0.500 0.000 Cs
0.500 0.500 0.500 Rh
0.500 0.000 0.000 B
0.000 0.000 0.500 B
0.000 0.000 0.000 Ag
```

Computed properties:
Energy relative to the elements   1.855 eV/atom
V   113.10 Å³ per cell
Density of states at the Fermi level   0.5915 states/eV per atom
Space group   P4/mmm, No. 123


3.
First-principles (PBE) data for a geometry-optimized CsAgBRu2 structure, as listed in Alexandria via LeMat-Bulk.

Structure (POSCAR):
```
CsAgBRu2
1.0
-4.227 -0.494 0.917
1.052 -3.729 2.836
0.420 2.698 3.391
Ru Ag Cs B
2 1 1 1
direct
0.500 0.000 0.000 Ru
0.000 0.000 0.500 Ru
0.000 0.500 0.000 Ag
0.500 0.500 0.500 Cs
0.000 0.000 0.000 B
```

Computed properties:
Energy relative to the elements   0.991 eV/atom
V   91.00 Å³ per cell
Density of states at the Fermi level   0.9936 states/eV per atom
Space group   P4/mmm, No. 123


4.
First-principles (PBE) data for a geometry-optimized Cs2AgBS structure, as listed in Alexandria via LeMat-Bulk.

Structure (POSCAR):
```
Cs2AgBS
1.0
-2.151 1.530 6.338
3.492 -2.528 1.795
4.019 5.566 0.020
Ag S Cs B
1 1 2 1
direct
0.000 0.500 0.000 Ag
0.000 0.000 0.000 S
0.000 0.000 0.500 Cs
0.500 0.000 0.000 Cs
0.500 0.500 0.500 B
```

Computed properties:
Energy relative to the elements, uncorrected   0.53 eV/atom
V   220.14 Å³ per cell
Density of states at the Fermi level   0.8949 states/eV per atom
Space group   P4/mmm, No. 123


5.
First-principles (PBE) data for a geometry-optimized CuAgB2 structure, as listed in Alexandria via LeMat-Bulk.

Structure (POSCAR):
```
CuAgB2
1.0
0.314 -3.811 0.904
1.343 -1.077 3.533
-2.444 -1.605 2.625
B Ag Cu
2 1 1
direct
0.750 0.750 0.750 B
0.250 0.250 0.250 B
0.500 0.500 0.500 Ag
0.000 0.000 0.000 Cu
```

Computed properties:
Energy relative to the elements   1.227 eV/atom
V   42.91 Å³ per cell
Density of states at the Fermi level   0.3859 states/eV per atom
Space group   Fm-3m, No. 225


6.
First-principles (PBE) data for a geometry-optimized CuAgB2 structure, as listed in Alexandria via LeMat-Bulk.

Structure (POSCAR):
```
CuAgB2
1.0
3.570 0.000 0.000
0.000 3.570 0.000
1.785 1.785 7.452
Ag Cu B
2 2 4
direct
0.000 0.000 0.000 Ag
0.750 0.250 0.500 Ag
0.250 0.750 0.500 Cu
0.500 0.500 0.000 Cu
0.875 0.625 0.750 B
0.375 0.625 0.250 B
0.375 0.125 0.250 B
0.375 0.625 0.750 B
```

Computed properties:
Energy relative to the elements   0.593 eV/atom
V   94.99 Å³ per cell
Density of states at the Fermi level   0.1689 states/eV per atom
Space group   I4_1/amd, No. 141


7.
First-principles (PBE) data for a geometry-optimized CuAg2B structure, as listed in Alexandria via LeMat-Bulk.

Structure (POSCAR):
```
CuAg2B
1.0
-0.688 -5.982 5.046
-2.686 -4.577 -5.792
0.248 -5.867 -0.806
Ag Cu B
4 2 2
direct
0.254 0.625 0.250 Ag
0.875 0.746 0.750 Ag
0.375 0.504 0.750 Ag
0.496 0.125 0.250 Ag
0.000 0.000 0.000 Cu
0.750 0.250 0.500 Cu
0.250 0.750 0.500 B
0.500 0.500 0.000 B
```

Computed properties:
Energy relative to the elements   0.630 eV/atom
V   127.62 Å³ per cell
Density of states at the Fermi level   0.2577 states/eV per atom
Space group   I-42d, No. 122


8.
First-principles (PBE) data for a geometry-optimized CuAg3B structure, as listed in Alexandria via LeMat-Bulk.

Structure (POSCAR):
```
CuAg3B
1.0
4.313 0.000 0.000
0.000 4.313 0.000
0.000 0.000 4.313
Cu Ag B
1 3 1
direct
0.500 0.500 0.500 Cu
0.000 0.000 0.500 Ag
0.500 0.000 0.000 Ag
0.000 0.500 0.000 Ag
0.000 0.000 0.000 B
```

Computed properties:
Energy relative to the elements   0.567 eV/atom
V   80.26 Å³ per cell
Density of states at the Fermi level   0.4848 states/eV per atom
Space group   Pm-3m, No. 221